DFT (PBE) results for crystalline Nb2FeMoH at its relaxed geometry.

Output
Relative energy among the computed polymorphs, meV/atom: 192
Total energy, eV/atom: -8.4526

POSCAR file:
```
Nb2FeMoH
1.0
4.388 0.000 0.000
0.000 3.453 0.000
0.000 0.000 4.388
H Mo Nb Fe
1 1 2 1
direct
0.000 0.000 0.000
0.000 0.500 0.000
0.000 0.000 0.500
0.500 0.000 0.000
0.500 0.500 0.500
```



DFT (PBE) results for crystalline NaSnMoC2 at its relaxed geometry.

Output
Total energy, eV/atom: -5.3360
E_form, eV/atom: 1.5841

POSCAR file:
```
NaSnMoC2
1.0
-0.918 -3.824 -1.234
1.811 1.212 -5.102
3.786 -1.247 1.048
C Na Mo Sn
2 1 1 1
direct
0.000 0.000 0.500
0.500 0.000 0.000
0.000 0.500 0.000
0.000 0.000 0.000
0.500 0.500 0.500
```



DFT (PBE) results for crystalline Tb12In3Ag at its relaxed geometry.

Output
Total energy, eV/atom: -4.3619
E_form, eV/atom: -0.1975

POSCAR file:
```
Tb12In3Ag
1.0
-0.127 3.944 2.837
-4.535 -1.114 1.346
6.896 -10.334 14.680
Tb In Ag
12 3 1
direct
0.500 0.500 0.000
0.500 0.500 0.246
0.500 0.500 0.500
0.500 0.500 0.754
0.500 0.000 0.121
0.500 0.000 0.374
0.500 0.000 0.626
0.500 0.000 0.879
0.000 0.500 0.121
0.000 0.500 0.374
0.000 0.500 0.626
0.000 0.500 0.879
0.000 0.000 0.248
0.000 0.000 0.500
0.000 0.000 0.752
0.000 0.000 0.000
```



DFT (PBE) results for crystalline Tb2PmEu at its relaxed geometry.

Output
Relative energy among the computed polymorphs, meV/atom: 102
Total energy, eV/atom: -5.9124
E_form, eV/atom: 0.1590

POSCAR file:
```
Tb2PmEu
1.0
3.572 0.000 0.000
1.786 3.093 0.000
1.786 1.031 12.640
Eu Tb Pm
1 2 1
direct
0.000 0.000 0.000
0.090 0.090 0.729
0.910 0.910 0.271
0.500 0.500 0.500
```



DFT (PBE) results for crystalline La3YSb2 at its relaxed geometry.

Output
Relative energy among the computed polymorphs, meV/atom: 0
Total energy, eV/atom: -5.7931
Formation energy (no corrections), eV per atom: -0.8779

POSCAR file:
```
La3YSb2
1.0
-3.163 1.055 -3.089
-2.206 -4.137 0.847
-2.186 5.433 7.437
La Y Sb
3 1 2
direct
0.500 0.500 0.000
0.823 0.322 0.645
0.177 0.678 0.355
0.000 0.000 0.000
0.365 0.865 0.731
0.635 0.135 0.269
```



DFT (PBE) results for crystalline MnAlCo2H at its relaxed geometry.

Output
Relative energy among the computed polymorphs, meV/atom: 0
Total energy, eV/atom: -6.3352

POSCAR file:
```
MnAlCo2H
1.0
-3.489 -0.384 1.320
0.645 -3.637 0.648
1.136 0.777 3.228
H Mn Co Al
1 1 2 1
direct
0.000 0.000 0.000
0.000 0.000 0.500
0.000 0.500 0.000
0.500 0.000 0.000
0.500 0.500 0.500
```



DFT (PBE) results for crystalline CsTcC3 at its relaxed geometry.

Output
Relative energy among the computed polymorphs, meV/atom: 0
Total energy, eV/atom: -5.9968
E_form, eV/atom: 1.7815

POSCAR file:
```
CsTcC3
1.0
4.220 0.000 0.000
0.000 4.220 0.000
0.000 0.000 4.220
Cs C Tc
1 3 1
direct
0.500 0.500 0.500
0.000 0.500 0.000
0.000 0.000 0.500
0.500 0.000 0.000
0.000 0.000 0.000
```



DFT (PBE) results for crystalline Rb12Tl3H5 at its relaxed geometry.

Output
Total energy, eV/atom: -1.7475

POSCAR file:
```
Rb12Tl3H5
1.0
16.797 0.000 0.000
-5.599 15.837 0.000
-5.599 -7.918 13.715
Tl H Rb
12 20 48
direct
0.750 0.375 0.125
0.875 0.750 0.125
0.375 0.750 0.625
0.250 0.125 0.375
0.875 0.125 0.250
0.375 0.625 0.250
0.625 0.375 0.750
0.125 0.875 0.750
0.750 0.875 0.625
0.625 0.250 0.375
0.125 0.250 0.875
0.250 0.625 0.875
0.125 0.375 0.250
0.000 0.500 0.000
0.000 0.000 0.000
0.375 0.250 0.125
0.500 0.000 0.500
0.500 0.500 0.000
0.125 0.750 0.375
0.750 0.125 0.875
0.750 0.625 0.375
0.375 0.125 0.750
0.625 0.875 0.250
0.500 0.500 0.500
0.500 0.000 0.000
0.000 0.000 0.500
0.250 0.375 0.625
0.250 0.875 0.125
0.000 0.500 0.500
0.875 0.250 0.625
0.625 0.750 0.875
0.875 0.625 0.750
0.697 0.114 0.014
0.317 0.514 0.400
0.986 0.386 0.303
0.514 0.197 0.114
0.583 0.697 0.683
0.986 0.600 0.183
0.317 0.803 0.417
0.100 0.917 0.114
0.600 0.986 0.683
0.697 0.583 0.183
0.803 0.486 0.386
0.817 0.900 0.014
0.114 0.697 0.514
0.386 0.400 0.083
0.083 0.900 0.386
0.417 0.114 0.600
0.083 0.183 0.197
0.486 0.683 0.100
0.817 0.917 0.303
0.114 0.417 0.100
0.386 0.986 0.803
0.600 0.614 0.417
0.900 0.817 0.514
0.803 0.317 0.917
0.400 0.386 0.583
0.100 0.183 0.486
0.197 0.683 0.083
0.183 0.083 0.697
0.614 0.014 0.197
0.886 0.583 0.900
0.514 0.317 0.900
0.583 0.886 0.400
0.917 0.817 0.803
0.917 0.100 0.614
0.886 0.303 0.486
0.183 0.100 0.986
0.614 0.600 0.917
0.400 0.014 0.317
0.303 0.417 0.817
0.197 0.514 0.614
0.900 0.083 0.886
0.683 0.197 0.583
0.486 0.803 0.886
0.014 0.400 0.817
0.417 0.303 0.317
0.014 0.614 0.697
0.683 0.486 0.600
0.303 0.886 0.986
```



DFT (PBE) results for crystalline PrBe2H8 at its relaxed geometry.

Output
Total energy, eV/atom: -3.6284

POSCAR file:
```
PrBe2H8
1.0
4.444 0.000 0.000
-2.222 3.094 -2.047
0.000 -0.044 6.692
Pr Be H
1 2 8
direct
0.000 0.000 0.000
0.150 0.300 0.682
0.850 0.700 0.318
0.584 0.697 0.193
0.887 0.303 0.807
0.102 0.204 0.435
0.898 0.796 0.565
0.113 0.697 0.193
0.416 0.303 0.807
0.386 0.772 0.786
0.614 0.228 0.214
```



DFT (PBE) results for crystalline MnAlTc4 at its relaxed geometry.

Output
Total energy, eV/atom: -8.8179
E_form, eV/atom: 0.2448

POSCAR file:
```
MnAlTc4
1.0
0.108 -4.675 -2.035
2.013 -3.879 2.628
-3.024 -3.661 1.860
Mn Al Tc
1 1 4
direct
0.000 0.000 0.000
0.750 0.750 0.750
0.875 0.375 0.375
0.375 0.375 0.875
0.375 0.875 0.375
0.375 0.375 0.375
```



DFT (PBE) results for crystalline Ho5ErTm at its relaxed geometry.

Output
Relative energy among the computed polymorphs, meV/atom: 936
Total energy, eV/atom: -3.5573
E_form, eV/atom: 1.0032

POSCAR file:
```
Ho5ErTm
1.0
6.065 0.000 0.000
0.000 7.958 0.000
-3.032 -3.979 5.810
Ho Er Tm
5 1 1
direct
0.190 0.256 0.512
0.171 0.500 0.000
0.678 0.744 0.488
0.433 0.822 0.000
0.433 0.178 0.000
0.693 0.500 0.000
0.932 0.000 0.000
```



DFT (PBE) results for crystalline MnCrOs2 at its relaxed geometry.

Output
Total energy, eV/atom: -9.9965
E_form, eV/atom: 0.3166

POSCAR file:
```
MnCrOs2
1.0
-3.023 -2.397 1.759
-1.997 -2.934 -2.320
0.714 -4.121 0.722
Mn Cr Os
1 1 2
direct
0.500 0.500 0.500
0.750 0.750 0.750
0.000 0.000 0.999
0.250 0.250 0.251
```